# CaAgSnF2 (PBE, relaxed)
data_CaAgSnF2
_chemical_formula_sum 'Ca1 Ag1 Sn1 F2'
_cell_length_a 4.6025
_cell_length_b 4.6025
_cell_length_c 5.3747
_cell_angle_alpha 90.00
_cell_angle_beta 90.00
_cell_angle_gamma 90.00
_symmetry_space_group_name_H-M 'P 4/m m m'
_symmetry_Int_Tables_number 123
_symmetry_space_group_name_Hall '-P 4 2'
loop_
_atom_site_label
_atom_site_type_symbol
_atom_site_fract_x
_atom_site_fract_y
_atom_site_fract_z
_atom_site_occupancy
Ca1 Ca 0.0000 0.0000 0.0000 1
Ag1 Ag 0.5000 0.5000 0.5000 1
Sn1 Sn 0.5000 0.5000 0.0000 1
F1 F 0.0000 0.5000 0.5000 1
# - theoretical density (g/cm³) = 4.44
# - size of the total moment (μB/f.u.) = 0.0
# - formation energy from raw total energies (eV/f.u.) = -4.87